(1)
A geometry-optimized Si2SbTe6 structure, computed with PBE.

a b c (Å): 7.040 9.324 9.324
angles (deg): 86.27 83.01 83.01
Positions (direct):
Si1 0.815 0.382 0.230
Si2 0.185 0.618 0.770
Si3 0.685 0.770 0.618
Si4 0.315 0.230 0.382
Sb1 0.750 0.887 0.113
Sb2 0.250 0.113 0.887
Te1 0.364 0.724 0.537
Te2 0.904 0.861 0.403
Te3 0.404 0.403 0.861
Te4 0.096 0.139 0.597
Te5 0.663 0.978 0.789
Te6 0.837 0.211 0.022
Te7 0.596 0.597 0.139
Te8 0.136 0.463 0.276
Te9 0.864 0.537 0.724
Te10 0.636 0.276 0.463
Te11 0.163 0.789 0.978
Te12 0.337 0.022 0.211

Values from the calculation:
DFT total energy   -66.91 eV per cell
Magnetic moment   0.000 μB per cell
ΔE_f (raw)   40 meV/atom


(2)
A geometry-optimized Si2Sb2Te structure, computed with PBE.

a b c (Å): 5.086 5.086 5.859
angles (deg): 64.28 64.28 90.00
Positions (direct):
Sb1 0.750 0.250 0.500
Sb2 0.250 0.750 0.500
Si1 0.631 0.631 0.739
Si2 0.369 0.369 0.261
Te1 0.000 0.000 0.000

Values from the calculation:
Excess energy over the best structure of this formula in the dataset   0.000 eV/atom
DFT total energy   -20.86 eV per cell
Magnetic moment   0.000 μB per cell
ΔE_f (raw)   274 meV/atom


(3)
A geometry-optimized Si2SbTe structure, computed with PBE.

a b c (Å): 7.361 7.361 7.361
angles (deg): 30.93 30.93 30.93
Positions (direct):
Sb1 0.729 0.729 0.729
Te1 0.517 0.517 0.517
Si1 0.994 0.994 0.994
Si2 0.260 0.260 0.260

Values from the calculation:
Excess energy over the best structure of this formula in the dataset   0.020 eV/atom
DFT total energy   -17.31 eV per cell
Magnetic moment   0.000 μB per cell
ΔE_f (raw)   199 meV/atom


(4)
A geometry-optimized Si2SbTe2 structure, computed with PBE.

a b c (Å): 5.526 5.526 5.631
angles (deg): 60.61 60.61 90.00
Positions (direct):
Sb1 0.000 0.000 0.000
Te1 0.750 0.250 0.500
Te2 0.250 0.750 0.500
Si1 0.348 0.348 0.304
Si2 0.652 0.652 0.696

Values from the calculation:
Excess energy over the best structure of this formula in the dataset   0.000 eV/atom
DFT total energy   -19.49 eV per cell
Magnetic moment   0.000 μB per cell
ΔE_f (raw)   352 meV/atom